# 1
Tb6DyTm12 | GGA-PBE | relaxed

As for the total energy: -4.070 eV per atom. The value obtained for the density of states at the Fermi level is 91.18 states/eV/cell. Its crystal system is trigonal. The polymorph energy (0 for the lowest one) is 6.35 eV per formula unit.

It has space group R-3m (No. 166, hexagonal axes), with a = 14.7402 Å, b = 14.7402 Å, c = 10.2366 Å, α = 90.00°, β = 90.00° and γ = 120.00°. The asymmetric unit holds Tb at (0.0710, 0.5355, 0.2198), Dy at (0.0000, 0.0000, 0.0000), Tm at (0.0000, 0.3879, 0.5000) and Tm at (0.0779, 0.1558, 0.2555).

***

# 2
Tb2Dy5Tm5 | GGA-PBE | relaxed

As for the total energy: -4.531 eV per atom. The value obtained for the density of states at the Fermi level is 33.37 states/eV/cell. Its crystal system is monoclinic.

It has space group C2/m (No. 12), with a = 14.911 Å, b = 4.965 Å, c = 11.124 Å, α = 90.00°, β = 116.54° and γ = 90.00°. The asymmetric unit holds Tb at (0.083, 0.000, 0.249), Dy at (0.000, 0.500, 0.000), Dy at (0.084, 0.500, 0.750), Dy at (0.166, 0.500, 0.500), Tm at (0.000, 0.000, 0.500), Tm at (0.168, 0.000, 0.000) and Tm at (0.250, 0.000, 0.750).

***

# 3
Tb3Dy4Tm5 | GGA-PBE | relaxed

As for the total energy: -4.308 eV per atom. The value obtained for the density of states at the Fermi level is 38.17 states/eV/cell. Its crystal system is monoclinic. The polymorph energy (0 for the lowest one) is 2.72 eV per formula unit.

It has space group C2/m (No. 12), with a = 15.813 Å, b = 5.823 Å, c = 9.188 Å, α = 90.00°, β = 116.36° and γ = 90.00°. The asymmetric unit holds Tb at (0.000, 0.000, 0.000), Tb at (0.210, 0.500, 0.233), Dy at (0.082, 0.500, 0.441), Dy at (0.212, 0.500, 0.879), Tm at (0.000, 0.500, 0.000), Tm at (0.072, 0.000, 0.699) and Tm at (0.172, 0.000, 0.386).

***

# 4
Tb8Dy3Tm3 | GGA-PBE | relaxed

As for the total energy: -4.471 eV per atom. The value obtained for the density of states at the Fermi level is 38.15 states/eV/cell. Its crystal system is orthorhombic. The polymorph energy (0 for the lowest one) is 0.10 eV per formula unit.

It has space group Immm (No. 71), with a = 5.571 Å, b = 10.709 Å, c = 14.845 Å, α = 90.00°, β = 90.00° and γ = 90.00°. The asymmetric unit holds Tb at (0.000, 0.158, 0.223), Tb at (0.000, 0.340, 0.396), Dy at (0.000, 0.000, 0.000), Dy at (0.000, 0.300, 0.000), Tm at (0.000, 0.000, 0.500) and Tm at (0.000, 0.500, 0.182).